# meta-GGA SCAN CrGaMo6H38O40, PBEsol geometry
# Fermi-level density of states ... 0.0 states/eV/cell
# Total DFT energy (no corrections) ... -0.3189 hartree per atom
# ρ ... 2.801 g/cm³
# Total magnetic moment ... 3.000 μB per formula unit
data_CrGaMo6H38O40
_chemical_formula_sum 'Cr1 Ga1 Mo6 H38 O40'
_space_group_name_H-M_alt 'P -1'
_space_group_IT_number 2
_cell_length_a 6.806
_cell_length_b 11.190
_cell_length_c 11.372
_cell_angle_alpha 101.18
_cell_angle_beta 101.59
_cell_angle_gamma 98.75
loop_
_space_group_symop_operation_xyz
'x,y,z'
'-x,-y,-z'
loop_
_atom_site_label
_atom_site_fract_x
_atom_site_fract_y
_atom_site_fract_z
Cr1 0.000 0.000 0.000
Ga1 0.000 0.500 0.500
Mo1 0.008 0.303 0.080
Mo2 0.355 0.179 0.237
Mo3 0.357 0.884 0.154
H1 0.021 0.301 0.817
H2 0.023 0.599 0.318
H3 0.036 0.297 0.348
H4 0.045 0.972 0.236
H5 0.088 0.755 0.557
H6 0.096 0.165 0.694
H7 0.130 0.022 0.630
H8 0.139 0.911 0.461
H9 0.238 0.364 0.792
H10 0.257 0.587 0.386
H11 0.290 0.912 0.906
H12 0.300 0.168 0.984
H13 0.343 0.581 0.665
H14 0.347 0.899 0.552
H15 0.361 0.443 0.585
H16 0.405 0.528 0.127
H17 0.464 0.270 0.538
H18 0.496 0.655 0.314
H19 0.499 0.667 0.119
O1 0.012 0.679 0.574
O2 0.034 0.073 0.663
O3 0.095 0.315 0.751
O4 0.107 0.547 0.365
O5 0.119 0.255 0.232
O6 0.120 0.751 0.096
O7 0.124 0.998 0.172
O8 0.165 0.620 0.872
O9 0.195 0.893 0.960
O10 0.198 0.155 0.037
O11 0.200 0.897 0.545
O12 0.207 0.413 0.073
O13 0.279 0.512 0.589
O14 0.400 0.166 0.389
O15 0.405 0.877 0.305
O16 0.463 0.186 0.909
O17 0.470 0.696 0.765
O18 0.488 0.395 0.829
O19 0.491 0.648 0.401
O20 0.492 0.053 0.166

---

# meta-GGA SCAN Cr2GaHOs, PBEsol geometry
# Fermi-level density of states ... 3.5 states/eV/cell
# Total DFT energy (no corrections) ... -0.9052 hartree per atom
# ρ ... 9.848 g/cm³
# Total magnetic moment ... 3.494 μB per formula unit
data_Cr2GaHOs
_chemical_formula_sum 'Cr2 Ga1 H1 Os1'
_space_group_name_H-M_alt 'P 4/m m m'
_space_group_IT_number 123
_space_group_name_Hall '-P 4 2'
_cell_length_a 4.563
_cell_length_b 4.563
_cell_length_c 2.955
_cell_angle_alpha 90.00
_cell_angle_beta 90.00
_cell_angle_gamma 90.00
loop_
_atom_site_label
_atom_site_fract_x
_atom_site_fract_y
_atom_site_fract_z
Cr1 0.000 0.500 0.000
Ga1 0.000 0.000 0.000
H1 0.000 0.000 0.500
Os1 0.500 0.500 0.500

---

# meta-GGA SCAN Cr3GaHg, PBEsol geometry
# Fermi-level density of states ... 4.6 states/eV/cell
# Total DFT energy (no corrections) ... -0.9843 hartree per atom
# ρ ... 5.489 g/cm³
# Total magnetic moment ... 14.019 μB per formula unit
data_Cr3GaHg
_chemical_formula_sum 'Cr3 Ga1 Hg1'
_space_group_name_H-M_alt 'P m -3 m'
_space_group_IT_number 221
_space_group_name_Hall '-P 4 2 3'
_cell_length_a 5.052
_cell_length_b 5.052
_cell_length_c 5.052
_cell_angle_alpha 90.00
_cell_angle_beta 90.00
_cell_angle_gamma 90.00
loop_
_atom_site_label
_atom_site_fract_x
_atom_site_fract_y
_atom_site_fract_z
Cr1 0.000 0.000 0.500
Ga1 0.500 0.500 0.500
Hg1 0.000 0.000 0.000

---

# meta-GGA SCAN CrGaI2O, PBEsol geometry
# Fermi-level density of states ... 1.1 states/eV/cell
# Total DFT energy (no corrections) ... -0.8670 hartree per atom
# ρ ... 5.632 g/cm³
# Total magnetic moment ... 3.000 μB per formula unit
# Formation energy without anion corrections ... -0.703 eV per atom
data_CrGaI2O
_chemical_formula_sum 'Cr1 Ga1 I2 O1'
_space_group_name_H-M_alt 'P 4/m m m'
_space_group_IT_number 123
_space_group_name_Hall '-P 4 2'
_cell_length_a 5.641
_cell_length_b 5.641
_cell_length_c 3.629
_cell_angle_alpha 90.00
_cell_angle_beta 90.00
_cell_angle_gamma 90.00
loop_
_atom_site_label
_atom_site_fract_x
_atom_site_fract_y
_atom_site_fract_z
Cr1 0.000 0.000 0.000
Ga1 0.500 0.500 0.500
I1 0.000 0.500 0.000
O1 0.000 0.000 0.500

---

# meta-GGA SCAN YCr2GaI, PBEsol geometry
# Fermi-level density of states ... 2.6 states/eV/cell
# Total DFT energy (no corrections) ... -0.8244 hartree per atom
# ρ ... 4.096 g/cm³
# Total magnetic moment ... 9.111 μB per formula unit
# Formation energy without anion corrections ... 1.107 eV per atom
data_YCr2GaI
_chemical_formula_sum 'Y1 Cr2 Ga1 I1'
_space_group_name_H-M_alt 'P 4/m m m'
_space_group_IT_number 123
_space_group_name_Hall '-P 4 2'
_cell_length_a 5.273
_cell_length_b 5.273
_cell_length_c 5.680
_cell_angle_alpha 90.00
_cell_angle_beta 90.00
_cell_angle_gamma 90.00
loop_
_atom_site_label
_atom_site_fract_x
_atom_site_fract_y
_atom_site_fract_z
Y1 0.000 0.000 0.000
Cr1 0.000 0.500 0.000
Ga1 0.500 0.500 0.500
I1 0.000 0.000 0.500

---

# meta-GGA SCAN SrCrIn2Ga, PBEsol geometry
# Fermi-level density of states ... 0.9 states/eV/cell
# Total DFT energy (no corrections) ... -0.9160 hartree per atom
# ρ ... 6.028 g/cm³
# Total magnetic moment ... 0.900 μB per formula unit
data_SrCrIn2Ga
_chemical_formula_sum 'Sr1 Cr1 In2 Ga1'
_space_group_name_H-M_alt 'P 4/m m m'
_space_group_IT_number 123
_space_group_name_Hall '-P 4 2'
_cell_length_a 5.031
_cell_length_b 5.031
_cell_length_c 4.778
_cell_angle_alpha 90.00
_cell_angle_beta 90.00
_cell_angle_gamma 90.00
loop_
_atom_site_label
_atom_site_fract_x
_atom_site_fract_y
_atom_site_fract_z
Sr1 0.000 0.000 0.000
Cr1 0.500 0.500 0.500
In1 0.000 0.500 0.500
Ga1 0.500 0.500 0.000

---

# meta-GGA SCAN Cr3GaIr, PBEsol geometry
# Fermi-level density of states ... 4.9 states/eV/cell
# Total DFT energy (no corrections) ... -1.0149 hartree per atom
# ρ ... 6.955 g/cm³
# Total magnetic moment ... 10.530 μB per formula unit
data_Cr3GaIr
_chemical_formula_sum 'Cr3 Ga1 Ir1'
_space_group_name_H-M_alt 'P m -3 m'
_space_group_IT_number 221
_space_group_name_Hall '-P 4 2 3'
_cell_length_a 4.638
_cell_length_b 4.638
_cell_length_c 4.638
_cell_angle_alpha 90.00
_cell_angle_beta 90.00
_cell_angle_gamma 90.00
loop_
_atom_site_label
_atom_site_fract_x
_atom_site_fract_y
_atom_site_fract_z
Cr1 0.000 0.000 0.500
Ga1 0.500 0.500 0.500
Ir1 0.000 0.000 0.000

---

# meta-GGA SCAN CrGa3Ir, PBEsol geometry
# Fermi-level density of states ... 2.7 states/eV/cell
# Total DFT energy (no corrections) ... -0.9809 hartree per atom
# ρ ... 8.428 g/cm³
# Total magnetic moment ... 3.192 μB per formula unit
data_CrGa3Ir
_chemical_formula_sum 'Cr1 Ga3 Ir1'
_space_group_name_H-M_alt 'P m -3 m'
_space_group_IT_number 221
_space_group_name_Hall '-P 4 2 3'
_cell_length_a 4.470
_cell_length_b 4.470
_cell_length_c 4.470
_cell_angle_alpha 90.00
_cell_angle_beta 90.00
_cell_angle_gamma 90.00
loop_
_atom_site_label
_atom_site_fract_x
_atom_site_fract_y
_atom_site_fract_z
Cr1 0.000 0.000 0.000
Ga1 0.000 0.000 0.500
Ir1 0.500 0.500 0.500

---

# meta-GGA SCAN CrGa2SnIr, PBEsol geometry
# Fermi-level density of states ... 2.8 states/eV/cell
# Total DFT energy (no corrections) ... -1.1394 hartree per atom
# ρ ... 8.637 g/cm³
# Total magnetic moment ... 1.158 μB per formula unit
data_CrGa2SnIr
_chemical_formula_sum 'Cr1 Ga2 Sn1 Ir1'
_space_group_name_H-M_alt 'P 4/m m m'
_space_group_IT_number 123
_space_group_name_Hall '-P 4 2'
_cell_length_a 4.643
_cell_length_b 4.643
_cell_length_c 4.480
_cell_angle_alpha 90.00
_cell_angle_beta 90.00
_cell_angle_gamma 90.00
loop_
_atom_site_label
_atom_site_fract_x
_atom_site_fract_y
_atom_site_fract_z
Cr1 0.000 0.000 0.000
Ga1 0.000 0.500 0.000
Sn1 0.500 0.500 0.500
Ir1 0.000 0.000 0.500

---

# meta-GGA SCAN TaCrGaIr2, PBEsol geometry
# Fermi-level density of states ... 2.0 states/eV/cell
# Total DFT energy (no corrections) ... -1.7551 hartree per atom
# ρ ... 13.555 g/cm³
# Total magnetic moment ... 2.221 μB per formula unit
data_TaCrGaIr2
_chemical_formula_sum 'Ta1 Cr1 Ga1 Ir2'
_space_group_name_H-M_alt 'P 4/m m m'
_space_group_IT_number 123
_space_group_name_Hall '-P 4 2'
_cell_length_a 4.409
_cell_length_b 4.409
_cell_length_c 4.330
_cell_angle_alpha 90.00
_cell_angle_beta 90.00
_cell_angle_gamma 90.00
loop_
_atom_site_label
_atom_site_fract_x
_atom_site_fract_y
_atom_site_fract_z
Ta1 0.000 0.000 0.000
Cr1 0.500 0.500 0.000
Ga1 0.500 0.500 0.500
Ir1 0.000 0.500 0.500

---

# meta-GGA SCAN KCr2Ga2, PBEsol geometry
# Fermi-level density of states ... 5.9 states/eV/cell
# Total DFT energy (no corrections) ... -0.5568 hartree per atom
# ρ ... 4.900 g/cm³
# Total magnetic moment ... 0.000 μB per formula unit
data_KCr2Ga2
_chemical_formula_sum 'K2 Cr4 Ga4'
_space_group_name_H-M_alt 'I 4/m m m'
_space_group_IT_number 139
_space_group_name_Hall '-I 4 2'
_cell_length_a 3.168
_cell_length_b 3.168
_cell_length_c 19.081
_cell_angle_alpha 90.00
_cell_angle_beta 90.00
_cell_angle_gamma 90.00
loop_
_atom_site_label
_atom_site_fract_x
_atom_site_fract_y
_atom_site_fract_z
K1 0.000 0.000 0.000
Cr1 0.000 0.500 0.250
Ga1 0.000 0.000 0.362

---

# meta-GGA SCAN KCr2GaS, PBEsol geometry
# Fermi-level density of states ... 2.3 states/eV/cell
# Total DFT energy (no corrections) ... -0.5139 hartree per atom
# ρ ... 3.316 g/cm³
# Total magnetic moment ... 8.681 μB per formula unit
# Formation energy without anion corrections ... 0.229 eV per atom
data_KCr2GaS
_chemical_formula_sum 'K1 Cr2 Ga1 S1'
_space_group_name_H-M_alt 'P 4/m m m'
_space_group_IT_number 123
_space_group_name_Hall '-P 4 2'
_cell_length_a 4.647
_cell_length_b 4.647
_cell_length_c 5.679
_cell_angle_alpha 90.00
_cell_angle_beta 90.00
_cell_angle_gamma 90.00
loop_
_atom_site_label
_atom_site_fract_x
_atom_site_fract_y
_atom_site_fract_z
K1 0.000 0.000 0.000
Cr1 0.000 0.500 0.500
Ga1 0.500 0.500 0.000
S1 0.500 0.500 0.500